Record 1
## NaB2As (PBE-GGA)

Data for an optimized crystal structure of NaB2As.

Output
crystal system: tetragonal
ΔH_f (0 K): 4.40 eV per formula unit

Structure (POSCAR):
```
NaB2As
1.0
5.875 0.000 0.000
0.000 5.875 0.000
2.937 2.937 4.291
B As Na
4 2 2
direct
0.715 0.125 0.250
0.035 0.625 0.250
0.375 0.285 0.750
0.875 0.965 0.750
0.000 0.000 0.000
0.750 0.250 0.500
0.250 0.750 0.500
0.500 0.500 0.000
```

---

Record 2
## PaBeSi (PBE-GGA)

Data for an optimized crystal structure of PaBeSi.

Output
formation energy from raw total energies: -138 kJ/mol of formula units
crystal system: hexagonal

Structure (POSCAR):
```
PaBeSi
1.0
4.127 0.000 0.000
0.000 3.801 0.000
0.000 -1.900 3.292
Pa Si Be
1 1 1
direct
0.667 0.667 0.333
0.166 0.000 0.000
0.167 0.333 0.667
```

---

Record 3
## InSbAsO5 (PBE-GGA)

Data for an optimized crystal structure of InSbAsO5.

Output
formation energy from raw total energies: -907 kJ/mol of formula units
crystal system: monoclinic

Structure (POSCAR):
```
InSbAsO5
1.0
-5.864 -1.536 0.373
3.026 -4.770 2.229
1.309 6.218 4.568
O In As Sb
10 2 2 2
direct
0.083 0.917 0.250
0.917 0.083 0.750
0.102 0.650 0.907
0.898 0.350 0.093
0.650 0.102 0.407
0.350 0.898 0.593
0.220 0.390 0.572
0.780 0.610 0.428
0.390 0.220 0.072
0.610 0.780 0.928
0.000 0.000 0.000
0.000 0.000 0.500
0.303 0.697 0.750
0.697 0.303 0.250
0.290 0.710 0.250
0.710 0.290 0.750
```

---

Record 4
## Tb6AlCd3 (PBE-GGA)

Data for an optimized crystal structure of Tb6AlCd3.

Output
crystal system: monoclinic
ΔH_f (0 K): -2.40 eV per formula unit

Structure (POSCAR):
```
Tb6AlCd3
1.0
-3.473 -3.927 0.303
6.446 -5.939 -3.089
0.790 0.194 11.572
Tb Cd Al
12 6 2
direct
0.750 0.153 0.679
0.250 0.660 0.673
0.250 0.130 0.164
0.250 0.847 0.321
0.750 0.870 0.836
0.250 0.467 0.091
0.750 0.533 0.909
0.250 0.105 0.876
0.250 0.235 0.496
0.750 0.895 0.124
0.750 0.340 0.327
0.750 0.765 0.504
0.750 0.616 0.222
0.250 0.772 0.971
0.750 0.228 0.029
0.250 0.529 0.378
0.250 0.384 0.778
0.750 0.471 0.622
0.750 0.044 0.394
0.250 0.956 0.606
```

---

Record 5
## Ti2V2Hg (PBE-GGA)

Data for an optimized crystal structure of Ti2V2Hg.

Output
crystal system: tetragonal
ΔH_f (0 K): 0.73 eV per formula unit

Structure (POSCAR):
```
Ti2V2Hg
1.0
6.995 0.000 0.000
0.000 6.995 0.000
0.000 0.000 3.391
V Hg Ti
4 2 4
direct
0.117 0.383 0.000
0.383 0.883 0.000
0.883 0.617 0.000
0.617 0.117 0.000
0.500 0.500 0.000
0.000 0.000 0.000
0.825 0.325 0.500
0.675 0.825 0.500
0.175 0.675 0.500
0.325 0.175 0.500
```

---

Record 6
## HoZnOs (PBE-GGA)

Data for an optimized crystal structure of HoZnOs.

Output
crystal system: orthorhombic
ΔH_f (0 K): -0.94 eV per formula unit

Structure (POSCAR):
```
HoZnOs
1.0
4.644 0.000 2.607
1.615 4.407 2.562
0.053 0.134 5.345
Os Ho Zn
2 2 2
direct
0.000 0.000 0.000
0.500 0.000 0.000
0.117 0.633 0.633
0.883 0.367 0.367
0.500 0.000 0.500
0.500 0.500 0.000
```

---

Record 7
## SbPb3S (PBE-GGA)

Data for an optimized crystal structure of SbPb3S.

Output
formation energy from raw total energies: 328 kJ/mol of formula units
crystal system: cubic

Structure (POSCAR):
```
SbPb3S
1.0
5.900 0.000 0.000
0.000 5.900 0.000
0.000 0.000 5.900
Pb S Sb
3 1 1
direct
0.000 0.000 0.500
0.500 0.000 0.000
0.000 0.500 0.000
0.500 0.500 0.500
0.000 0.000 0.000
```

---

Record 8
## CuHg2Te (PBE-GGA)

Data for an optimized crystal structure of CuHg2Te.

Output
formation energy from raw total energies: 66 kJ/mol of formula units
crystal system: orthorhombic

Structure (POSCAR):
```
CuHg2Te
1.0
5.717 0.309 0.183
0.115 5.724 -0.183
-1.574 -4.314 3.424
Hg Cu Te
2 1 1
direct
0.029 0.029 0.000
0.756 0.256 0.500
0.258 0.758 0.500
0.456 0.456 0.000
```

---

Record 9
## YTe2IBr (PBE-GGA)

Data for an optimized crystal structure of YTe2IBr.

Output
formation energy from raw total energies: -155 kJ/mol of formula units
crystal system: tetragonal

Structure (POSCAR):
```
YTe2IBr
1.0
5.975 0.000 0.000
0.000 5.975 0.000
0.000 0.000 5.879
Y Te I Br
1 2 1 1
direct
0.000 0.000 0.000
0.500 0.000 0.000
0.000 0.500 0.000
0.000 0.000 0.500
0.500 0.500 0.500
```

---

Record 10
## MgSbRu4 (PBE-GGA)

Data for an optimized crystal structure of MgSbRu4.

Output
formation energy from raw total energies: 195 kJ/mol of formula units
crystal system: cubic

Structure (POSCAR):
```
MgSbRu4
1.0
-2.963 -0.945 4.172
-5.062 1.203 -0.077
-3.571 -3.782 -0.147
Ru Mg Sb
4 1 1
direct
0.375 0.375 0.874
0.375 0.375 0.375
0.375 0.874 0.375
0.874 0.375 0.375
0.000 0.000 0.000
0.750 0.750 0.750
```

---

Record 11
## CaCd2Mo (PBE-GGA)

Data for an optimized crystal structure of CaCd2Mo.

Output
crystal system: trigonal
ΔH_f (0 K): 1.91 eV per formula unit

Structure (POSCAR):
```
CaCd2Mo
1.0
-5.443 8.561 2.230
-7.831 6.622 1.646
-6.539 6.700 4.498
Cd Ca Mo
2 1 1
direct
0.507 0.507 0.507
0.993 0.993 0.993
0.750 0.750 0.750
0.250 0.250 0.250
```

---

Record 12
## AcMg9Pd2 (PBE-GGA)

Data for an optimized crystal structure of AcMg9Pd2.

Output
crystal system: tetragonal
ΔH_f (0 K): -3.85 eV per formula unit

Structure (POSCAR):
```
AcMg9Pd2
1.0
-5.190 -3.233 4.630
-4.645 -6.997 -3.740
3.205 -6.951 5.092
Mg Ac Pd
18 2 4
direct
0.000 0.000 0.000
0.305 0.678 0.076
0.016 0.924 0.678
0.734 0.576 0.822
0.690 0.178 0.576
0.445 0.424 0.822
0.618 0.076 0.322
0.060 0.322 0.924
0.618 0.322 0.076
0.132 0.424 0.178
0.445 0.822 0.424
0.060 0.924 0.322
0.305 0.076 0.678
0.132 0.178 0.424
0.690 0.576 0.178
0.750 0.500 0.500
0.734 0.822 0.576
0.016 0.678 0.924
0.250 0.500 0.500
0.500 0.000 0.000
0.875 0.250 0.250
0.875 0.250 0.750
0.375 0.750 0.750
0.875 0.750 0.250
```

---

no.,calculated density (g cm⁻³)
1,2.68
2,8.62
3,5.53
4,8.09
5,7.97
6,12.96
7,6.27
8,9.02
9,4.36
10,9.17
11,6.90
12,4.09